No. 1
VASP calculation (PBE) on Ti8C3O2 after structural relaxation.

```
Ti8C3O2
1.0
4.9556 -3.0346 0.0000
4.9556 3.0346 0.0000
-0.1395 0.0000 5.2079
Ti C O
8 3 2
Direct
0.1174 0.1174 0.1753
0.1171 0.6326 0.3236
0.3674 0.8829 0.6764
0.3823 0.3823 0.8305
0.6177 0.6177 0.1695
0.6326 0.1171 0.3236
0.8829 0.3674 0.6764
0.8826 0.8826 0.8247
0.0000 0.0000 0.5000
0.2501 0.7499 0.0000
0.7499 0.2501 0.0000
0.2636 0.2636 0.4971
0.7364 0.7364 0.5029
```

Calculated values
As for the volume: 12.0 Å³/atom. As for the energy: -0.330 hartree per atom. As for the symmetry: C2/m (12).

---

No. 2
VASP calculation (PBE) on CaLaBi3 after structural relaxation.

```
CaLaBi3
1.0
6.0982 0.0000 0.0000
0.0000 6.0982 0.0000
0.0000 0.0000 6.0982
Ca La Bi
1 1 3
Direct
0.0000 0.0000 0.0000
0.5000 0.5000 0.5000
0.0000 0.5000 0.5000
0.5000 0.0000 0.5000
0.5000 0.5000 0.0000
```

Calculated values
As for the volume: 45.4 Å³/atom. As for the symmetry: Pm-3m (221). The calculation puts the energy of formation from the pure elements at 0.06 eV per atom.

---

No. 3
VASP calculation (PBE) on KMo2W after structural relaxation.

```
KMo2W
1.0
5.2528 0.0000 0.0000
0.0000 5.2528 0.0000
0.0000 0.0000 2.6697
K Mo W
1 2 1
Direct
0.0000 0.0000 0.0000
0.0000 0.5000 0.5000
0.5000 0.0000 0.5000
0.5000 0.5000 0.0000
```

Calculated values
As for the volume: 18.4 Å³/atom. As for the symmetry: P4/mmm (123). The calculation puts the energy of formation from the pure elements at 1.60 eV per atom.

---

No. 4
VASP calculation (PBE) on Ho4Er7Th after structural relaxation.

```
Ho4Er7Th
1.0
6.7157 0.0000 0.0000
1.6511 6.7159 0.0000
1.9399 1.1826 8.2850
Ho Er Th
4 7 1
Direct
0.1569 0.2696 0.3162
0.3144 0.8909 0.6662
0.6856 0.1091 0.3338
0.8431 0.7304 0.6838
0.0199 0.2504 0.9745
0.1777 0.7643 0.3277
0.3223 0.3922 0.6340
0.5000 0.0000 0.0000
0.6777 0.6078 0.3660
0.8223 0.2357 0.6723
0.9801 0.7496 0.0255
0.5000 0.5000 0.0000
```

Calculated values
As for the volume: 31.1 Å³/atom. As for the symmetry: P-1 (2). The calculation puts the energy of formation from the pure elements at 0.09 eV per atom.

---

No. 5
VASP calculation (PBE) on Tm3Co7Ni2 after structural relaxation.

```
Tm3Co7Ni2
1.0
2.4545 1.4171 8.1576
-2.4545 1.4171 8.1576
0.0000 -2.8342 8.1576
Tm Co Ni
3 7 2
Direct
0.0000 0.0000 0.0000
0.1395 0.1395 0.1395
0.8605 0.8605 0.8605
0.0802 0.5828 0.5828
0.4172 0.4172 0.9198
0.4172 0.9198 0.4172
0.5000 0.5000 0.5000
0.5828 0.0802 0.5828
0.5828 0.5828 0.0802
0.9198 0.4172 0.4172
0.3338 0.3338 0.3338
0.6662 0.6662 0.6662
```

Calculated values
As for the volume: 14.2 Å³/atom. As for the symmetry: R-3m (166). The calculation puts the energy of formation from the pure elements at -0.26 eV per atom.

---

No. 6
VASP calculation (PBE) on TbNd2Sm6Er3 after structural relaxation.

```
TbNd2Sm6Er3
1.0
3.1213 -5.4054 0.0000
3.1213 5.4054 0.0000
-2.0767 0.0000 11.7269
Tb Nd Sm Er
1 2 6 3
Direct
0.0000 0.0000 0.0000
0.3334 0.6666 0.0000
0.6666 0.3334 0.0000
0.0846 0.4172 0.2538
0.2480 0.2480 0.7460
0.4172 0.0846 0.2538
0.5828 0.9154 0.7462
0.7520 0.7520 0.2540
0.9154 0.5828 0.7462
0.1665 0.8335 0.5000
0.5000 0.5000 0.5000
0.8335 0.1665 0.5000
```

Calculated values
As for the volume: 33.0 Å³/atom. As for the symmetry: C2/m (12). The calculation puts the energy of formation from the pure elements at 0.02 eV per atom.

---

No. 7
VASP calculation (PBE) on Na6Tl5 after structural relaxation.

```
Na6Tl5
1.0
4.6374 -6.1628 0.0000
4.6374 6.1628 0.0000
-1.9320 0.0000 5.9588
Na Tl
6 5
Direct
0.0436 0.3396 0.6674
0.1889 0.1889 0.1731
0.3396 0.0436 0.6674
0.6604 0.9564 0.3326
0.8111 0.8111 0.8269
0.9564 0.6604 0.3326
0.2339 0.7661 0.0000
0.3696 0.6304 0.5000
0.5000 0.5000 0.0000
0.6304 0.3696 0.5000
0.7661 0.2339 0.0000
```

Calculated values
As for the volume: 31.0 Å³/atom. As for the symmetry: C2/m (12). The calculation puts the energy of formation from the pure elements at -0.06 eV per atom.

---

No. 8
VASP calculation (PBE) on CsMo2Ru after structural relaxation.

```
CsMo2Ru
1.0
0.0000 3.3021 3.3021
3.3021 0.0000 3.3021
3.3021 3.3021 0.0000
Cs Mo Ru
1 2 1
Direct
0.0000 0.0000 0.0000
0.2500 0.2500 0.2500
0.7500 0.7500 0.7500
0.5000 0.5000 0.5000
```

Calculated values
As for the volume: 18.0 Å³/atom. As for the symmetry: Fm-3m (225). The calculation puts the energy of formation from the pure elements at 1.73 eV per atom.